(1)
DFT (GGA-PBE) results for an optimized crystal structure of Pr2MgH.

## Properties
- ΔE to the lowest computed polymorph: 0.0000 eV/atom
- Crystal system: trigonal
- Space group: R-3m (166)

a b c (Å): 3.6881 3.6881 8.7888
angles (deg): 77.89 77.89 60.00
Closest atoms and distances in Å follow each position.
Element x y z (fractional)
Pr 0.2758 0.2758 0.1725  3 H 2.59
Pr 0.7242 0.7242 0.8275  3 H 2.59
Mg 0.5000 0.5000 0.5000  6 Pr 3.51, 6 Mg 3.69
H 0.0000 0.0000 0.0000  6 Pr 2.59

---

(2)
DFT (GGA-PBE) results for an optimized crystal structure of Pr2MgH.

## Properties
- ΔE to the lowest computed polymorph: 0.1928 eV/atom
- Crystal system: tetragonal
- Space group: P4/mmm (123)

a b c (Å): 3.3855 3.3855 8.2663
angles (deg): 90.00 90.00 90.00
Closest atoms and distances in Å follow each position.
Element x y z (fractional)
Pr 0.0000 0.0000 0.2010  4 H 2.91
Pr 0.0000 0.0000 0.7990  4 H 2.91
H 0.5000 0.5000 0.0000  8 Pr 2.91
Mg 0.5000 0.5000 0.5000  4 Mg 3.39, 8 Pr 3.44